Ti2GaTcO, relaxed, DFT PBE; volume = 69.5 Å³/f.u.; DOS(E_F) = 1.014 states/eV per atom; formation energy without anion corrections = -4.504 eV per formula unit
1.0
3.968 0.000 0.000
0.000 3.968 0.000
0.000 0.000 4.415
Ti Ga Tc O
2 1 1 1
Direct
0.000 0.500 0.000 Ti
0.500 0.000 0.000 Ti
0.000 0.000 0.500 Ga
0.500 0.500 0.500 Tc
0.000 0.000 0.000 O